1.
CaBeSn | PBE | relaxed

Lattice parameters (Å, degrees): 5.2387 4.0578 6.8820 90.00 96.12 90.00
Sites, in units of the cell vectors:
1 Be 0.1152 0.2500 0.0306
2 Be 0.8848 0.7500 0.9694
3 Ca 0.6937 0.2500 0.2819
4 Ca 0.3063 0.7500 0.7181
5 Sn 0.7789 0.2500 0.7586
6 Sn 0.2211 0.7500 0.2414

Properties
Space-group type = P2_1/m
Formation enthalpy at 0 K = -232 meV per atom
Density = 3.83 Mg/m³
N(E_F) = 0.32 states/eV per atom
Calculated total energy = -20.9 eV for the cell shown
M_tot = 0.0 μB per cell


2.
Cs2Rb4GeAs2 | PBE | relaxed

Lattice parameters (Å, degrees): 7.8308 10.5299 10.5299 50.64 59.29 59.29
Sites, in units of the cell vectors:
1 Cs 0.0868 0.6809 0.6809
2 Cs 0.9132 0.3191 0.3191
3 Rb 0.3030 0.6699 0.1222
4 Rb 0.6970 0.8778 0.3301
5 Rb 0.6970 0.3301 0.8778
6 Rb 0.3030 0.1222 0.6699
7 Ge 0.5000 0.0000 0.0000
8 As 0.1429 0.0875 0.0875
9 As 0.8571 0.9125 0.9125

Properties
Space-group type = C2/m
Formation enthalpy at 0 K = -80 meV per atom
Density = 2.49 Mg/m³
N(E_F) = 0.75 states/eV per atom
Calculated total energy = -20.2 eV for the cell shown
M_tot = 0.0 μB per cell


3.
CaRhSe2 | PBE | relaxed

Lattice parameters (Å, degrees): 3.8972 3.8972 5.6026 90.00 90.00 90.00
Sites, in units of the cell vectors:
1 Ca 0.0000 0.0000 0.4035
2 Rh 0.5000 0.5000 0.8389
3 Se 0.0000 0.0000 0.8976
4 Se 0.5000 0.5000 0.3600

Properties
Space-group type = P4mm
Energy above the most stable polymorph in this dataset = 104 meV/atom
Density = 5.87 Mg/m³
Uncorrected formation energy = -0.808 eV per atom
N(E_F) = 0.49 states/eV per atom
Calculated total energy = -19.6 eV for the cell shown
M_tot = 0.0 μB per cell


4.
Ag2PdPt | PBE | relaxed

Lattice parameters (Å, degrees): 7.3549 7.3549 5.8716 51.22 51.22 90.00
Sites, in units of the cell vectors:
1 Pd 0.5000 0.5000 0.0000
2 Pd 0.2500 0.7500 0.5000
3 Ag 0.6253 0.1250 0.2500
4 Ag 0.1247 0.6250 0.2500
5 Ag 0.3750 0.3747 0.7500
6 Ag 0.8750 0.8753 0.7500
7 Pt 0.0000 0.0000 0.0000
8 Pt 0.7500 0.2500 0.5000

Properties
Space-group type = I-42d
Energy above the most stable polymorph in this dataset = 424 meV/atom
Formation enthalpy at 0 K = 392 meV per atom
Density = 11.65 Mg/m³
N(E_F) = 0.61 states/eV per atom
Calculated total energy = -30.7 eV for the cell shown
M_tot = 0.0 μB per cell


5.
MoN | PBE | relaxed

Lattice parameters (Å, degrees): 6.3889 6.3889 6.3889 90.00 90.00 90.00
Sites, in units of the cell vectors:
1 Mo 0.3493 0.3493 0.3493
2 Mo 0.3493 0.6507 0.6507
3 Mo 0.6507 0.3493 0.6507
4 Mo 0.6507 0.6507 0.3493
5 Mo 0.8493 0.8493 0.8493
6 Mo 0.8493 0.1507 0.1507
7 Mo 0.1507 0.8493 0.1507
8 Mo 0.1507 0.1507 0.8493
9 N 0.1690 0.1690 0.1690
10 N 0.1690 0.8310 0.8310
11 N 0.8310 0.1690 0.8310
12 N 0.8310 0.8310 0.1690
13 N 0.6690 0.6690 0.6690
14 N 0.6690 0.3310 0.3310
15 N 0.3310 0.6690 0.3310
16 N 0.3310 0.3310 0.6690

Properties
Space-group type = I-43m
Density = 5.60 Mg/m³
Uncorrected formation energy = 0.100 eV per atom
N(E_F) = 1.26 states/eV per atom
Calculated total energy = -151.7 eV for the cell shown
M_tot = 0.0 μB per cell


6.
Tb3PaAl8 | PBE | relaxed

Lattice parameters (Å, degrees): 5.5341 5.5341 9.1925 90.00 90.00 120.00
Sites, in units of the cell vectors:
1 Tb 0.6667 0.3333 0.4349
2 Tb 0.6667 0.3333 0.0664
3 Tb 0.0000 0.0000 0.9269
4 Pa 0.0000 0.0000 0.5681
5 Al 0.3333 0.6667 0.4991
6 Al 0.3333 0.6667 0.0051
7 Al 0.5033 0.0066 0.7479
8 Al 0.5033 0.4967 0.7479
9 Al 0.9934 0.4967 0.7479
10 Al 0.1625 0.3251 0.2519
11 Al 0.1625 0.8375 0.2519
12 Al 0.6749 0.8375 0.2519

Properties
Space-group type = P3m1
Formation enthalpy at 0 K = -431 meV per atom
Density = 6.29 Mg/m³
N(E_F) = 0.80 states/eV per atom
Calculated total energy = -58.5 eV for the cell shown
M_tot = 0.0 μB per cell


7.
SrY2Pb | PBE | relaxed

Lattice parameters (Å, degrees): 6.3433 6.3433 6.3433 134.19 134.19 66.79
Sites, in units of the cell vectors:
1 Pb 0.2500 0.7500 0.5000
2 Sr 0.7500 0.2500 0.5000
3 Y 0.0000 0.0000 0.0000
4 Y 0.5000 0.5000 0.0000

Properties
Space-group type = I4/mmm
Formation enthalpy at 0 K = -117 meV per atom
Density = 6.08 Mg/m³
N(E_F) = 1.21 states/eV per atom
Calculated total energy = -18.8 eV for the cell shown
M_tot = 0.2 μB per cell


8.
Li2ZnH | PBE | relaxed

Lattice parameters (Å, degrees): 2.7557 4.1867 8.4714 90.00 93.25 90.00
Sites, in units of the cell vectors:
1 Li 0.3154 0.0000 0.2606
2 Li 0.3154 0.5000 0.7606
3 Li 0.9757 0.0000 0.9313
4 Li 0.9757 0.5000 0.4313
5 Zn 0.7309 0.0000 0.6162
6 Zn 0.7309 0.5000 0.1162
7 H 0.8267 0.0000 0.4110
8 H 0.8267 0.5000 0.9110

Properties
Space-group type = Cm
Energy above the most stable polymorph in this dataset = 100 meV/atom
Density = 2.73 Mg/m³
N(E_F) = 0.16 states/eV per atom
Calculated total energy = -18.0 eV for the cell shown
M_tot = 0.0 μB per cell


9.
Cd2PRh | PBE | relaxed

Lattice parameters (Å, degrees): 4.9344 4.9344 3.1250 90.00 90.00 112.79
Sites, in units of the cell vectors:
1 Cd 0.0000 0.5000 0.0000
2 Cd 0.5000 0.0000 0.0000
3 P 0.5000 0.5000 0.5000
4 Rh 0.0000 0.0000 0.5000

Properties
Space-group type = Cmmm
Formation enthalpy at 0 K = 130 meV per atom
Density = 8.49 Mg/m³
N(E_F) = 0.50 states/eV per atom
Calculated total energy = -14.1 eV for the cell shown
M_tot = 0.0 μB per cell


10.
AcO | PBE | relaxed

Lattice parameters (Å, degrees): 3.8072 3.8072 3.8072 60.00 60.00 60.00
Sites, in units of the cell vectors:
1 Ac 0.5000 0.5000 0.5000
2 O 0.0000 0.0000 0.0000

Properties
Space-group type = Fm-3m
Energy above the most stable polymorph in this dataset = 2 meV/atom
Density = 10.34 Mg/m³
Uncorrected formation energy = -2.581 eV per atom
N(E_F) = 0.48 states/eV per atom
Calculated total energy = -14.2 eV for the cell shown
M_tot = 0.0 μB per cell


11.
PrPuVN3 | PBE | relaxed

Lattice parameters (Å, degrees): 3.4791 7.3514 7.5670 97.82 90.00 90.00
Last column: magnetic moment on the atom in μB.
Sites, in units of the cell vectors:
1 Pr 0.7500 0.8334 0.8254  0.05
2 Pr 0.2500 0.1666 0.1746  0.05
3 Pu 0.2500 0.6350 0.1696  4.71
4 Pu 0.7500 0.3650 0.8304  4.71
5 V 0.2500 0.0960 0.5940  0.17
6 V 0.7500 0.9040 0.4060  0.17
7 N 0.2500 0.8357 0.4941  -0.02
8 N 0.7500 0.8816 0.1568  -0.07
9 N 0.7500 0.4160 0.1293  -0.16
10 N 0.7500 0.1643 0.5059  -0.02
11 N 0.2500 0.5840 0.8707  -0.16
12 N 0.2500 0.1184 0.8432  -0.07

Properties
Space-group type = P2_1/m
Density = 8.28 Mg/m³
Uncorrected formation energy = -1.073 eV per atom
N(E_F) = 1.41 states/eV per atom
Calculated total energy = -119.3 eV for the cell shown
M_tot = 9.8 μB per cell


12.
Y4Er2Tm | PBE | relaxed

Lattice parameters (Å, degrees): 5.8878 6.7025 11.6561 90.00 104.84 90.00
Sites, in units of the cell vectors:
1 Y 0.6371 0.4979 0.2906
2 Y 0.9887 0.7500 0.8483
3 Y 0.0113 0.2500 0.1517
4 Y 0.6371 0.0021 0.2906
5 Y 0.8366 0.2500 0.5727
6 Y 0.3629 0.9979 0.7094
7 Y 0.3629 0.5021 0.7094
8 Y 0.1634 0.7500 0.4273
9 Er 0.5916 0.7500 0.0056
10 Er 0.4084 0.2500 0.9944
11 Er 0.2668 0.2500 0.4374
12 Er 0.7332 0.7500 0.5626
13 Tm 0.1517 0.7500 0.1452
14 Tm 0.8483 0.2500 0.8548

Properties
Space-group type = P2_1/m
Energy above the most stable polymorph in this dataset = 107 meV/atom
Formation enthalpy at 0 K = 142 meV per atom
Density = 6.42 Mg/m³
N(E_F) = 1.86 states/eV per atom
Calculated total energy = -76.9 eV for the cell shown
M_tot = 0.0 μB per cell